Entry 1:
The following is a PBE calculation of TlCdCl2F after structural relaxation, from Alexandria via LeMat-Bulk.

The space group is P4/mmm (No. 123) and the conventional cell measures 5.342, 5.342 and 4.393 Å, with angles of 90.00, 90.00 and 90.00 degrees. Symmetry generates all atoms from Tl at (0.000, 0.000, 0.000), Cd at (0.500, 0.500, 0.500), Cl at (0.000, 0.500, 0.500) and F at (0.500, 0.500, 0.000).

The calculation puts the total magnetization at 0.000 μB per atom. The calculation puts the polymorph energy (0 for the lowest one) at 32.0 meV per atom. For the uncorrected formation energy, the calculation gives -1.37 eV per atom. For the calculated total energy, the calculation gives -3.137 eV per atom. Its crystal system is tetragonal.



Entry 2:
The following is a PBE calculation of UCdCl2F6 after structural relaxation, from Alexandria via LeMat-Bulk.

The space group is Cmmm (No. 65) and the conventional cell measures 6.127, 9.558 and 6.986 Å, with angles of 90.00, 90.00 and 90.00 degrees. Symmetry generates all atoms from U at (0.000, 0.000, 0.000), Cd at (0.000, 0.500, 0.500), Cl at (0.000, 0.251, 0.500), F at (0.000, 0.212, 0.000) and F at (0.240, 0.000, 0.210).

The calculation puts the total magnetization at 0.053 μB per atom. For the uncorrected formation energy, the calculation gives -2.59 eV per atom. For the calculated total energy, the calculation gives -5.299 eV per atom. Its crystal system is orthorhombic.